Sr3VO6: optimized geometry, PBE with a Hubbard U.

Geometry as CIF:
```
data_Sr3VO6
_cell_length_a 9.979
_cell_length_b 12.517
_cell_length_c 5.541
_cell_angle_alpha 90.00
_cell_angle_beta 90.00
_cell_angle_gamma 90.00
_space_group_name_H-M_alt 'C m c 21'
_space_group_IT_number 36
_space_group_name_Hall 'C 2c -2'
loop_
_atom_site_label
_atom_site_type_symbol
_atom_site_fract_x
_atom_site_fract_y
_atom_site_fract_z
Sr1 Sr 0.000 0.103 0.000
Sr2 Sr 0.195 0.391 0.035
V1 V 0.000 0.305 0.580
O1 O 0.000 0.295 0.263
O2 O 0.000 0.436 0.687
O3 O 0.139 0.244 0.711
O4 O 0.163 0.011 0.268
```

Properties
The energy above the most stable polymorph in this dataset is 0.00 eV per formula unit. The value obtained for the calculated total energy is -66.95 eV per formula unit. As for the crystal system: orthorhombic.